Computed, not measured: a relaxed structure of Sc12MoC7 at the GGA-PBE level of DFT.

Lattice parameters (Å, degrees): 7.350 7.350 7.350 107.48 107.48 107.48
Fractional positions:
Sc (0.055, 0.343, 0.127)
Sc (0.127, 0.055, 0.343)
Sc (0.188, 0.714, 0.570)
Sc (0.286, 0.430, 0.812)
Sc (0.343, 0.127, 0.055)
Sc (0.430, 0.812, 0.286)
Sc (0.570, 0.188, 0.714)
Sc (0.657, 0.873, 0.945)
Sc (0.714, 0.570, 0.188)
Sc (0.812, 0.286, 0.430)
Sc (0.873, 0.945, 0.657)
Sc (0.945, 0.657, 0.873)
Mo (0.500, 0.500, 0.500)
C (0.000, 0.000, 0.000)
C (0.159, 0.387, 0.467)
C (0.387, 0.467, 0.159)
C (0.467, 0.159, 0.387)
C (0.533, 0.841, 0.613)
C (0.613, 0.533, 0.841)
C (0.841, 0.613, 0.533)

Summary:
space-group type: R-3
ΔH_f (0 K): -0.44 eV per atom
E: -8.0073 eV/atom